## K2FeSnF6 (GGA+U)

Data for a relaxed K2FeSnF6 crystal.

M_tot = 7.88 μB per cell
space group = P2_1/c (14)
E = -97.0 eV/cell

Lattice parameters (Å, degrees): 6.2070 6.2951 8.7046 90.00 90.53 90.00
Last column: nearest neighbours and their distance in Å.
Atoms (fractional coordinates):
F1 0.3026 0.7244 0.4561  1 Fe 2.16, 1 Sn 2.38
F2 0.0783 0.4770 0.7711  1 Fe 2.06
F3 0.2757 0.6993 0.0378  1 Fe 2.14, 1 Sn 2.37
F4 0.8026 0.7756 0.9561  1 Fe 2.16, 1 Sn 2.38
F5 0.7757 0.8007 0.5378  1 Fe 2.14, 1 Sn 2.37
F6 0.7243 0.3007 0.9622  1 Fe 2.14, 1 Sn 2.37
F7 0.4217 0.9770 0.7289  1 Fe 2.06
F8 0.5783 0.0230 0.2711  1 Fe 2.06
F9 0.6974 0.2756 0.5439  1 Fe 2.16, 1 Sn 2.38
F10 0.2243 0.1993 0.4622  1 Fe 2.14, 1 Sn 2.37
F11 0.1974 0.2244 0.0439  1 Fe 2.16, 1 Sn 2.38
F12 0.9217 0.5230 0.2289  1 Fe 2.06
K1 0.9894 0.0379 0.7505  6 F 2.70-2.98
K2 0.5106 0.5379 0.7495  6 F 2.70-2.98
K3 0.0106 0.9621 0.2495  6 F 2.70-2.98
K4 0.4894 0.4621 0.2505  6 F 2.70-2.98
Fe1 0.5000 0.0000 0.5000  6 F 2.06-2.16
Fe2 0.0000 0.5000 0.0000  6 F 2.06-2.16
Sn1 0.5000 0.0000 0.0000  6 F 2.37-2.41
Sn2 0.0000 0.5000 0.5000  6 F 2.37-2.41